! PuVIrO6 PBE+U optimized geometry; values from VASP
! total energy = -8.514 eV per atom
! DOS(E_F) = 0.6377 states/eV/atom
&SYSTEM
  ibrav = 0, nat = 18, ntyp = 4
/
ATOMIC_SPECIES
Pu 244.00 Pu.upf
V 50.94 V.upf
Ir 192.22 Ir.upf
O 16.00 O.upf
CELL_PARAMETERS angstrom
5.264 0.000 0.000
-2.632 4.558 0.000
0.000 0.000 8.728
ATOMIC_POSITIONS angstrom
Pu 0.000 3.039 2.182
Pu 2.632 1.519 6.546
V 2.632 1.519 2.182
V 0.000 3.039 6.546
Ir 0.000 0.000 0.000
Ir 0.000 0.000 4.364
O 1.837 3.026 1.090
O 4.334 1.455 1.090
O -0.907 4.481 5.454
O -1.702 3.103 7.638
O 0.930 1.455 3.274
O 3.427 3.026 3.274
O 0.907 4.481 7.638
O 3.539 0.078 3.274
O -0.795 1.533 5.454
O 1.725 0.078 1.090
O 1.702 3.103 5.454
O 0.795 1.533 7.638